{
  "formula": "Nd6Sm2Dy",
  "functional": "PBE",
  "state": "relaxed",
  "lattice_angstrom": [[-5.200, -4.709, 4.431], [6.102, -1.695, 5.360], [-2.725, 8.439, 5.771]],
  "species": ["Nd", "Nd", "Nd", "Nd", "Nd", "Nd", "Nd", "Nd", "Nd", "Nd", "Nd", "Nd", "Sm", "Sm", "Sm", "Sm", "Dy", "Dy"],
  "frac_coords": [[0.739, 0.739, 0.000], [0.761, 0.239, 0.500], [0.738, 0.738, 0.333], [0.261, 0.261, 0.000], [0.762, 0.238, 0.833], [0.238, 0.762, 0.167], [0.262, 0.262, 0.333], [0.238, 0.762, 0.833], [0.762, 0.238, 0.167], [0.262, 0.262, 0.667], [0.738, 0.738, 0.667], [0.239, 0.761, 0.500], [0.000, 0.000, 0.332], [0.000, 0.000, 0.668], [0.500, 0.500, 0.168], [0.500, 0.500, 0.832], [0.500, 0.500, 0.500], [0.000, 0.000, 0.000]],
  "formation_enthalpy_0k_ev_per_atom": 0.6045,
  "n_ef_per_ev_atom": 1.624,
  "de_polymorph_mev_per_atom": 475
}

---

{
  "formula": "Nd4Sm3Dy",
  "functional": "PBE",
  "state": "relaxed",
  "lattice_angstrom": [[6.368, 0.000, 0.000], [0.000, 7.367, 0.000], [0.000, 0.000, 11.778]],
  "species": ["Nd", "Nd", "Nd", "Nd", "Nd", "Nd", "Nd", "Nd", "Dy", "Dy", "Sm", "Sm", "Sm", "Sm", "Sm", "Sm"],
  "frac_coords": [[0.981, 0.127, 0.752], [0.481, 0.873, 0.748], [0.649, 0.126, 0.500], [0.481, 0.873, 0.252], [0.149, 0.874, 0.000], [0.981, 0.127, 0.248], [0.646, 0.126, 0.000], [0.146, 0.874, 0.500], [0.148, 0.377, 0.000], [0.648, 0.623, 0.500], [0.480, 0.377, 0.750], [0.149, 0.376, 0.500], [0.980, 0.623, 0.750], [0.980, 0.623, 0.250], [0.480, 0.377, 0.250], [0.649, 0.624, 0.000]],
  "formation_enthalpy_0k_ev_per_atom": 0.0310,
  "n_ef_per_ev_atom": 1.765,
  "de_polymorph_mev_per_atom": 16
}

---

{
  "formula": "NdSm2Dy9",
  "functional": "PBE",
  "state": "relaxed",
  "lattice_angstrom": [[-1.926, 2.497, -1.557], [-7.199, -7.859, -3.700], [-1.689, 4.935, 10.003]],
  "species": ["Dy", "Dy", "Dy", "Dy", "Dy", "Dy", "Dy", "Dy", "Dy", "Sm", "Sm", "Nd"],
  "frac_coords": [[0.000, 0.000, 0.500], [0.500, 0.824, 0.176], [0.500, 0.824, 0.648], [0.500, 0.176, 0.352], [0.000, 0.500, 0.000], [0.500, 0.648, 0.824], [0.500, 0.352, 0.176], [0.500, 0.176, 0.824], [0.000, 0.500, 0.500], [0.000, 0.667, 0.333], [0.000, 0.333, 0.667], [0.000, 0.000, 0.000]],
  "formation_enthalpy_0k_ev_per_atom": 0.0504,
  "n_ef_per_ev_atom": 1.439,
  "de_polymorph_mev_per_atom": 30
}

---

{
  "formula": "Nd4Sm3Dy4",
  "functional": "PBE",
  "state": "relaxed",
  "lattice_angstrom": [[-3.206, -4.615, 1.231], [1.902, 0.555, -6.409], [8.912, -5.616, 2.159]],
  "species": ["Dy", "Dy", "Dy", "Dy", "Nd", "Nd", "Nd", "Nd", "Sm", "Sm", "Sm"],
  "frac_coords": [[0.104, 0.209, 0.303], [0.554, 0.107, 0.000], [0.104, 0.209, 0.697], [0.611, 0.222, 0.500], [0.754, 0.508, 0.790], [0.754, 0.508, 0.210], [0.961, 0.921, 0.000], [0.883, 0.766, 0.500], [0.410, 0.820, 0.709], [0.410, 0.820, 0.291], [0.254, 0.508, 0.000]],
  "formation_enthalpy_0k_ev_per_atom": 0.1504,
  "n_ef_per_ev_atom": 1.599,
  "de_polymorph_mev_per_atom": 23
}

---

Please write out number 3 again, unchanged.
{
  "formula": "NdSm2Dy9",
  "functional": "PBE",
  "state": "relaxed",
  "lattice_angstrom": [[-1.926, 2.497, -1.557], [-7.199, -7.859, -3.700], [-1.689, 4.935, 10.003]],
  "species": ["Dy", "Dy", "Dy", "Dy", "Dy", "Dy", "Dy", "Dy", "Dy", "Sm", "Sm", "Nd"],
  "frac_coords": [[0.000, 0.000, 0.500], [0.500, 0.824, 0.176], [0.500, 0.824, 0.648], [0.500, 0.176, 0.352], [0.000, 0.500, 0.000], [0.500, 0.648, 0.824], [0.500, 0.352, 0.176], [0.500, 0.176, 0.824], [0.000, 0.500, 0.500], [0.000, 0.667, 0.333], [0.000, 0.333, 0.667], [0.000, 0.000, 0.000]],
  "formation_enthalpy_0k_ev_per_atom": 0.0504,
  "n_ef_per_ev_atom": 1.439,
  "de_polymorph_mev_per_atom": 30
}

---

Repeat the fourth record exactly.
{
  "formula": "Nd4Sm3Dy4",
  "functional": "PBE",
  "state": "relaxed",
  "lattice_angstrom": [[-3.206, -4.615, 1.231], [1.902, 0.555, -6.409], [8.912, -5.616, 2.159]],
  "species": ["Dy", "Dy", "Dy", "Dy", "Nd", "Nd", "Nd", "Nd", "Sm", "Sm", "Sm"],
  "frac_coords": [[0.104, 0.209, 0.303], [0.554, 0.107, 0.000], [0.104, 0.209, 0.697], [0.611, 0.222, 0.500], [0.754, 0.508, 0.790], [0.754, 0.508, 0.210], [0.961, 0.921, 0.000], [0.883, 0.766, 0.500], [0.410, 0.820, 0.709], [0.410, 0.820, 0.291], [0.254, 0.508, 0.000]],
  "formation_enthalpy_0k_ev_per_atom": 0.1504,
  "n_ef_per_ev_atom": 1.599,
  "de_polymorph_mev_per_atom": 23
}

---

Which formula does entry 4 have?
Nd4Sm3Dy4